The following is a DFT calculation (PBE-GGA) of crystalline CaSnTe3 at its relaxed geometry.

Output
Crystal system: cubic
ΔE_f (raw) in kJ per mole of atoms: 3
Offset from the most stable computed form in meV/atom: 252
Raw total energy in eV per atom: -3.057

The structure in POSCAR format:
```
CaSnTe3
1.0
-2.141 -2.702 4.669
-4.281 -2.205 -3.239
3.282 -4.639 -1.179
Ca Te Sn
1 3 1
direct
0.000 0.000 0.000 Ca
0.000 0.500 0.000 Te
0.000 0.000 0.500 Te
0.500 0.000 0.000 Te
0.500 0.500 0.500 Sn
```